[1]
Density functional theory data (PBE-GGA) for a geometry-optimized ZrTi2AlO structure.

## Properties
Raw formation energy, eV per atom: -1.218
Space-group type: P4/mmm, No. 123

Lattice parameters (Å, degrees): 4.083 4.083 4.586 90.00 90.00 90.00
Positions (direct):
Ti  0.500  0.000  0.000
Ti  0.000  0.500  0.000
O  0.000  0.000  0.000
Zr  0.000  0.000  0.500
Al  0.500  0.500  0.500

=====

[2]
Density functional theory data (PBE-GGA) for a geometry-optimized Al2TlO structure.

## Properties
Raw formation energy, eV per atom: -0.691
Space-group type: I-42d, No. 122
Energy relative to the lowest polymorph listed for this composition, eV per atom: 0.0000

Lattice parameters (Å, degrees): 5.078 5.078 6.713 67.77 67.77 90.00
Positions (direct):
Al  0.375  0.542  0.750
Al  0.458  0.125  0.250
Al  0.292  0.625  0.250
Al  0.875  0.708  0.750
O  0.250  0.750  0.500
O  0.500  0.500  0.000
Tl  0.750  0.250  0.500
Tl  0.000  0.000  0.000

=====

[3]
Density functional theory data (PBE-GGA) for a geometry-optimized Al4TlO8 structure.

## Properties
Raw formation energy, eV per atom: -2.241
Space-group type: R-3m, No. 166

Lattice parameters (Å, degrees): 5.741 5.741 6.294 90.00 117.13 120.00
Positions (direct):
O  0.538  0.769  0.815
O  0.553  0.277  0.830
O  0.954  0.231  0.185
O  0.954  0.723  0.185
O  0.046  0.277  0.815
O  0.462  0.231  0.185
O  0.447  0.723  0.170
O  0.046  0.769  0.815
Al  0.000  0.500  0.000
Al  0.500  0.000  0.000
Al  0.000  0.000  0.000
Al  0.500  0.500  0.000
Tl  0.000  0.500  0.500

=====

[4]
Density functional theory data (PBE-GGA) for a geometry-optimized Al5Tl3O12 structure.

## Properties
Raw formation energy, eV per atom: -2.093
Space-group type: Ia-3d, No. 230

Lattice parameters (Å, degrees): 10.573 10.573 10.573 109.47 109.47 109.47
Positions (direct):
O  0.306  0.424  0.821
O  0.194  0.515  0.618
O  0.806  0.485  0.382
O  0.618  0.015  0.194
O  0.076  0.179  0.194
O  0.485  0.806  0.882
O  0.618  0.603  0.924
O  0.397  0.382  0.576
O  0.603  0.985  0.679
O  0.485  0.679  0.103
O  0.103  0.179  0.485
O  0.306  0.882  0.985
O  0.015  0.618  0.694
O  0.015  0.397  0.821
O  0.821  0.897  0.015
O  0.321  0.515  0.397
O  0.924  0.103  0.618
O  0.882  0.306  0.485
O  0.679  0.485  0.603
O  0.576  0.694  0.679
O  0.985  0.382  0.306
O  0.424  0.306  0.321
O  0.897  0.821  0.515
O  0.321  0.806  0.424
O  0.194  0.679  0.076
O  0.897  0.076  0.882
O  0.694  0.118  0.015
O  0.515  0.321  0.897
O  0.179  0.076  0.694
O  0.679  0.194  0.576
O  0.924  0.821  0.806
O  0.603  0.618  0.424
O  0.515  0.194  0.118
O  0.382  0.985  0.806
O  0.985  0.603  0.179
O  0.821  0.924  0.306
O  0.806  0.321  0.924
O  0.576  0.882  0.397
O  0.424  0.118  0.603
O  0.118  0.694  0.515
O  0.118  0.424  0.103
O  0.397  0.015  0.321
O  0.076  0.897  0.382
O  0.103  0.924  0.118
O  0.382  0.397  0.076
O  0.179  0.103  0.985
O  0.882  0.576  0.897
O  0.694  0.576  0.179
Tl  0.125  0.875  0.750
Tl  0.750  0.375  0.125
Tl  0.375  0.750  0.625
Tl  0.250  0.125  0.375
Tl  0.625  0.375  0.750
Tl  0.750  0.875  0.625
Tl  0.625  0.250  0.375
Tl  0.875  0.125  0.250
Tl  0.125  0.250  0.875
Tl  0.875  0.750  0.125
Tl  0.375  0.625  0.250
Tl  0.250  0.625  0.875
Al  0.750  0.125  0.875
Al  0.125  0.750  0.375
Al  0.625  0.750  0.875
Al  0.250  0.375  0.625
Al  0.625  0.875  0.250
Al  0.250  0.875  0.125
Al  0.500  0.500  0.000
Al  0.125  0.375  0.250
Al  0.000  0.000  0.000
Al  0.875  0.625  0.750
Al  0.750  0.625  0.375
Al  0.375  0.250  0.125
Al  0.500  0.000  0.500
Al  0.000  0.500  0.000
Al  0.375  0.125  0.750
Al  0.875  0.250  0.625
Al  0.500  0.000  0.000
Al  0.000  0.500  0.500
Al  0.500  0.500  0.500
Al  0.000  0.000  0.500

=====

[5]
Density functional theory data (PBE-GGA) for a geometry-optimized AlTl3O structure.

## Properties
Raw formation energy, eV per atom: 0.533
Space-group type: Pm-3m, No. 221
Energy relative to the lowest polymorph listed for this composition, eV per atom: 0.4445

Lattice parameters (Å, degrees): 5.332 5.332 5.332 90.00 90.00 90.00
Positions (direct):
Tl  0.000  0.000  0.500
Tl  0.000  0.500  0.000
Tl  0.500  0.000  0.000
O  0.500  0.500  0.500
Al  0.000  0.000  0.000

=====

[6]
Density functional theory data (PBE-GGA) for a geometry-optimized AlTl2O structure.

## Properties
Raw formation energy, eV per atom: -0.052
Space-group type: I-42d, No. 122
Energy relative to the lowest polymorph listed for this composition, eV per atom: 0.0000

Lattice parameters (Å, degrees): 7.037 7.037 6.219 55.55 55.55 90.00
Positions (direct):
Tl  0.875  0.815  0.750
Tl  0.565  0.125  0.250
Tl  0.185  0.625  0.250
Tl  0.375  0.435  0.750
O  0.500  0.500  0.000
O  0.250  0.750  0.500
Al  0.750  0.250  0.500
Al  0.000  0.000  0.000

=====

[7]
Density functional theory data (PBE-GGA) for a geometry-optimized AlTl3O structure.

## Properties
Raw formation energy, eV per atom: 0.088
Space-group type: Pm-3m, No. 221
Energy relative to the lowest polymorph listed for this composition, eV per atom: 0.0000

Lattice parameters (Å, degrees): 5.063 5.063 5.063 90.00 90.00 90.00
Positions (direct):
Tl  0.500  0.000  0.000
Tl  0.000  0.000  0.500
Tl  0.000  0.500  0.000
O  0.000  0.000  0.000
Al  0.500  0.500  0.500

=====

[8]
Density functional theory data (PBE-GGA) for a geometry-optimized Al4TlO7 structure.

## Properties
Raw formation energy, eV per atom: -2.510
Space-group type: Pmn2_1, No. 31

Lattice parameters (Å, degrees): 5.028 5.304 13.068 90.00 90.00 90.00
Positions (direct):
Al  0.567  0.167  0.249
Al  0.067  0.833  0.749
Al  0.577  0.674  0.879
Al  0.077  0.326  0.379
Al  0.567  0.167  0.751
Al  0.077  0.326  0.621
Al  0.067  0.833  0.251
Al  0.577  0.674  0.121
O  0.914  0.732  0.140
O  0.007  0.650  0.362
O  0.413  0.868  0.217
O  0.413  0.868  0.783
O  0.414  0.268  0.360
O  0.414  0.268  0.640
O  0.507  0.350  0.138
O  0.007  0.650  0.638
O  0.914  0.732  0.860
O  0.471  0.777  0.000
O  0.913  0.132  0.717
O  0.913  0.132  0.283
O  0.971  0.223  0.500
O  0.507  0.350  0.862
Tl  0.727  0.844  0.500
Tl  0.227  0.156  0.000

=====

[9]
Density functional theory data (PBE-GGA) for a geometry-optimized AlTl2O structure.

## Properties
Raw formation energy, eV per atom: 0.229
Space-group type: Fm-3m, No. 225
Energy relative to the lowest polymorph listed for this composition, eV per atom: 0.2809

Lattice parameters (Å, degrees): 4.914 4.914 4.914 60.00 60.00 60.00
Positions (direct):
Tl  0.250  0.250  0.250
Tl  0.750  0.750  0.750
Al  0.500  0.500  0.500
O  0.000  0.000  0.000

=====

[10]
Density functional theory data (PBE-GGA) for a geometry-optimized AlTlO structure.

## Properties
Raw formation energy, eV per atom: -0.855
Space-group type: P-6m2, No. 187

Lattice parameters (Å, degrees): 3.012 3.012 12.779 90.00 90.00 120.00
Positions (direct):
O  0.333  0.667  0.912
O  0.333  0.667  0.088
Al  0.000  0.000  0.000
Al  0.333  0.667  0.500
Tl  0.000  0.000  0.269
Tl  0.000  0.000  0.731

=====

[11]
Density functional theory data (PBE-GGA) for a geometry-optimized Al2TlO structure.

## Properties
Raw formation energy, eV per atom: 0.307
Space-group type: Fm-3m, No. 225
Energy relative to the lowest polymorph listed for this composition, eV per atom: 0.9980

Lattice parameters (Å, degrees): 4.609 4.609 4.609 60.00 60.00 60.00
Positions (direct):
Al  0.750  0.750  0.750
Al  0.250  0.250  0.250
Tl  0.500  0.500  0.500
O  0.000  0.000  0.000

=====

[12]
Density functional theory data (PBE-GGA) for a geometry-optimized TmAl2Tl3O6 structure.

## Properties
Raw formation energy, eV per atom: -1.992
Space-group type: P-3m1, No. 164

Lattice parameters (Å, degrees): 6.017 6.017 7.230 90.00 90.00 120.00
Positions (direct):
Al  0.333  0.667  0.309
Al  0.667  0.333  0.691
Tl  0.333  0.667  0.762
Tl  0.000  0.000  0.000
Tl  0.667  0.333  0.238
O  0.169  0.339  0.310
O  0.339  0.169  0.690
O  0.169  0.831  0.310
O  0.831  0.169  0.690
O  0.661  0.831  0.310
O  0.831  0.661  0.690
Tm  0.000  0.000  0.500

=====

[13]
Density functional theory data (PBE-GGA) for a geometry-optimized U3AlTl2O12 structure.

## Properties
Raw formation energy, eV per atom: -2.559
Space-group type: R-3m, No. 166

Lattice parameters (Å, degrees): 7.380 7.380 7.380 64.81 64.81 64.81
Positions (direct):
O  0.946  0.946  0.292
O  0.054  0.054  0.708
O  0.054  0.708  0.054
O  0.673  0.673  0.063
O  0.708  0.054  0.054
O  0.327  0.937  0.327
O  0.673  0.063  0.673
O  0.946  0.292  0.946
O  0.327  0.327  0.937
O  0.063  0.673  0.673
O  0.937  0.327  0.327
O  0.292  0.946  0.946
Tl  0.620  0.620  0.620
Tl  0.380  0.380  0.380
U  0.000  0.000  0.500
U  0.000  0.500  0.000
U  0.500  0.000  0.000
Al  0.000  0.000  0.000